A geometry-optimized ZrTeI2O structure, computed with PBE-GGA.

```
data_ZrTeI2O
_cell_length_a 5.679
_cell_length_b 5.679
_cell_length_c 5.605
_cell_angle_alpha 90.00
_cell_angle_beta 90.00
_cell_angle_gamma 90.00
_space_group_name_H-M_alt 'P 4/m m m'
_space_group_IT_number 123
_space_group_name_Hall '-P 4 2'
loop_
_atom_site_label
_atom_site_type_symbol
_atom_site_fract_x
_atom_site_fract_y
_atom_site_fract_z
_atom_site_occupancy
Zr1 Zr 0.000 0.000 0.000 1
Te1 Te 0.000 0.000 0.500 1
I1 I 0.000 0.500 0.000 1
O1 O 0.500 0.500 0.500 1
```

For the uncorrected formation energy, the calculation gives 284 meV/atom.

=====

A geometry-optimized PmPu2Pb structure, computed with PBE-GGA.

```
data_PmPu2Pb
_cell_length_a 7.738
_cell_length_b 7.738
_cell_length_c 7.738
_cell_angle_alpha 90.00
_cell_angle_beta 90.00
_cell_angle_gamma 90.00
_space_group_name_H-M_alt 'F m -3 m'
_space_group_IT_number 225
_space_group_name_Hall '-F 4 2 3'
loop_
_atom_site_label
_atom_site_type_symbol
_atom_site_fract_x
_atom_site_fract_y
_atom_site_fract_z
_atom_site_occupancy
Pm1 Pm 0.000 0.000 0.000 1
Pu1 Pu 0.250 0.250 0.250 1
Pb1 Pb 0.000 0.000 0.500 1
```

As for the energy of formation: 125 meV per atom.

=====

A geometry-optimized GePBr2 structure, computed with PBE-GGA.

```
data_GePBr2
_cell_length_a 3.4808
_cell_length_b 3.4808
_cell_length_c 28.0965
_cell_angle_alpha 90.00
_cell_angle_beta 90.00
_cell_angle_gamma 120.00
_space_group_name_H-M_alt 'R -3 m'
_space_group_IT_number 166
_space_group_name_Hall '-R 3 2"'
loop_
_atom_site_label
_atom_site_type_symbol
_atom_site_fract_x
_atom_site_fract_y
_atom_site_fract_z
_atom_site_occupancy
Ge1 Ge 0.0000 0.0000 0.0000 1
P1 P 0.0000 0.0000 0.5000 1
Br1 Br 0.0000 0.0000 0.4108 1
```

For the uncorrected formation energy, the calculation gives 378 meV/atom.

=====

no.,ΔE to the lowest computed polymorph (meV/atom),Fermi-level density of states (states/eV/cell),raw total energy (Ha/atom)
1,1109,19.3,-0.13471
2,284,60.4,-0.33648
3,0,5.7,-0.10897